1.
# Ce2Ni9Au | Alexandria | PBE | relaxed
# M_tot: 0.9 μB/f.u.
# E_tot: -69.791 eV/f.u.
# Space group: R-3m (166)
# DFT formation energy: -218 meV per atom
# V: 14.07 Å³/atom
data_Ce2Ni9Au
_symmetry_space_group_name_H-M 'P 1'
_symmetry_Int_Tables_number 1
_cell_length_a 8.608
_cell_length_b 8.608
_cell_length_c 8.608
_cell_angle_alpha 33.05
_cell_angle_beta 33.05
_cell_angle_gamma 33.05
loop_
_symmetry_equiv_pos_as_xyz
'x,y,z'
loop_
_atom_site_label
_atom_site_type_symbol
_atom_site_fract_x
_atom_site_fract_y
_atom_site_fract_z
Ce1 Ce 0.132 0.132 0.132
Ce2 Ce 0.868 0.868 0.868
Ni1 Ni 0.081 0.583 0.583
Ni2 Ni 0.333 0.333 0.333
Ni3 Ni 0.417 0.417 0.919
Ni4 Ni 0.417 0.919 0.417
Ni5 Ni 0.500 0.500 0.500
Ni6 Ni 0.583 0.081 0.583
Ni7 Ni 0.583 0.583 0.081
Ni8 Ni 0.667 0.667 0.667
Ni9 Ni 0.919 0.417 0.417
Au1 Au 0.000 0.000 0.000



2.
# YTcAu2 | Alexandria | PBE | relaxed
# M_tot: 1.4 μB/f.u.
# E_tot: -24.112 eV/f.u.
# Space group: P4/mmm (123)
# DFT formation energy: -182 meV per atom
# V: 19.04 Å³/atom
# Relative energy among the computed polymorphs: 0.0 meV per atom
data_YTcAu2
_symmetry_space_group_name_H-M 'P 1'
_symmetry_Int_Tables_number 1
_cell_length_a 4.239
_cell_length_b 4.239
_cell_length_c 4.240
_cell_angle_alpha 90.00
_cell_angle_beta 90.00
_cell_angle_gamma 90.00
loop_
_symmetry_equiv_pos_as_xyz
'x,y,z'
loop_
_atom_site_label
_atom_site_type_symbol
_atom_site_fract_x
_atom_site_fract_y
_atom_site_fract_z
Y1 Y 0.000 0.000 0.000
Tc1 Tc 0.500 0.500 0.000
Au1 Au 0.000 0.500 0.500
Au2 Au 0.500 0.000 0.500



3.
# Ni2RhBrCl | Alexandria | PBE | relaxed
# Uncorrected formation energy: 1088 meV/atom
# M_tot: 2.9 μB/f.u.
# E_tot: -16.995 eV/f.u.
# Space group: P4/mmm (123)
# V: 23.64 Å³/atom
data_Ni2RhBrCl
_symmetry_space_group_name_H-M 'P 1'
_symmetry_Int_Tables_number 1
_cell_length_a 4.271
_cell_length_b 4.271
_cell_length_c 6.479
_cell_angle_alpha 90.00
_cell_angle_beta 90.00
_cell_angle_gamma 90.00
loop_
_symmetry_equiv_pos_as_xyz
'x,y,z'
loop_
_atom_site_label
_atom_site_type_symbol
_atom_site_fract_x
_atom_site_fract_y
_atom_site_fract_z
Ni1 Ni 0.000 0.500 0.000
Ni2 Ni 0.500 0.000 0.000
Rh1 Rh 0.000 0.000 0.500
Br1 Br 0.500 0.500 0.000
Cl1 Cl 0.500 0.500 0.500



4.
# PmPr3Cu3 | Alexandria | PBE | relaxed
# M_tot: 0.0 μB/f.u.
# E_tot: -31.704 eV/f.u.
# Space group: C2/m (12)
# DFT formation energy: -47 meV per atom
# V: 26.22 Å³/atom
data_PmPr3Cu3
_symmetry_space_group_name_H-M 'P 1'
_symmetry_Int_Tables_number 1
_cell_length_a 7.218
_cell_length_b 7.218
_cell_length_c 7.084
_cell_angle_alpha 90.85
_cell_angle_beta 90.85
_cell_angle_gamma 95.73
loop_
_symmetry_equiv_pos_as_xyz
'x,y,z'
loop_
_atom_site_label
_atom_site_type_symbol
_atom_site_fract_x
_atom_site_fract_y
_atom_site_fract_z
Pm1 Pm 0.245 0.245 0.371
Pm2 Pm 0.755 0.755 0.629
Pr1 Pr 0.154 0.154 0.875
Pr2 Pr 0.240 0.760 0.500
Pr3 Pr 0.327 0.673 0.000
Pr4 Pr 0.673 0.327 0.000
Pr5 Pr 0.760 0.240 0.500
Pr6 Pr 0.846 0.846 0.125
Cu1 Cu 0.001 0.521 0.801
Cu2 Cu 0.444 0.444 0.670
Cu3 Cu 0.479 0.999 0.199
Cu4 Cu 0.521 0.001 0.801
Cu5 Cu 0.556 0.556 0.330
Cu6 Cu 0.999 0.479 0.199



5.
# NdGaSn2Ru2 | Alexandria | PBE | relaxed
# M_tot: 0.1 μB/f.u.
# E_tot: -35.636 eV/f.u.
# Space group: P4/mmm (123)
# DFT formation energy: -214 meV per atom
# V: 21.64 Å³/atom
data_NdGaSn2Ru2
_symmetry_space_group_name_H-M 'P 1'
_symmetry_Int_Tables_number 1
_cell_length_a 4.642
_cell_length_b 4.642
_cell_length_c 6.026
_cell_angle_alpha 90.00
_cell_angle_beta 90.00
_cell_angle_gamma 90.00
loop_
_symmetry_equiv_pos_as_xyz
'x,y,z'
loop_
_atom_site_label
_atom_site_type_symbol
_atom_site_fract_x
_atom_site_fract_y
_atom_site_fract_z
Nd1 Nd 0.000 0.000 0.000
Ga1 Ga 0.000 0.000 0.500
Sn1 Sn 0.500 0.500 0.237
Sn2 Sn 0.500 0.500 0.763
Ru1 Ru 0.000 0.500 0.500
Ru2 Ru 0.500 0.000 0.500



6.
# NaScGeTe2 | Alexandria | PBE | relaxed
# Uncorrected formation energy: -349 meV/atom
# M_tot: 0.0 μB/f.u.
# E_tot: -20.297 eV/f.u.
# Space group: P4/mmm (123)
# V: 32.94 Å³/atom
data_NaScGeTe2
_symmetry_space_group_name_H-M 'P 1'
_symmetry_Int_Tables_number 1
_cell_length_a 5.636
_cell_length_b 5.636
_cell_length_c 5.186
_cell_angle_alpha 90.00
_cell_angle_beta 90.00
_cell_angle_gamma 90.00
loop_
_symmetry_equiv_pos_as_xyz
'x,y,z'
loop_
_atom_site_label
_atom_site_type_symbol
_atom_site_fract_x
_atom_site_fract_y
_atom_site_fract_z
Na1 Na 0.000 0.000 0.000
Sc1 Sc 0.500 0.500 0.500
Ge1 Ge 0.500 0.500 0.000
Te1 Te 0.000 0.500 0.500
Te2 Te 0.500 0.000 0.500



7.
# La7Tl4Br4 | Alexandria | PBE | relaxed
# Uncorrected formation energy: -834 meV/atom
# M_tot: 0.0 μB/f.u.
# E_tot: -63.152 eV/f.u.
# Space group: I4/mmm (139)
# V: 30.45 Å³/atom
data_La7Tl4Br4
_symmetry_space_group_name_H-M 'P 1'
_symmetry_Int_Tables_number 1
_cell_length_a 12.229
_cell_length_b 12.229
_cell_length_c 12.229
_cell_angle_alpha 94.16
_cell_angle_beta 94.16
_cell_angle_gamma 148.76
loop_
_symmetry_equiv_pos_as_xyz
'x,y,z'
loop_
_atom_site_label
_atom_site_type_symbol
_atom_site_fract_x
_atom_site_fract_y
_atom_site_fract_z
La1 La 0.000 0.391 0.391
La2 La 0.000 0.609 0.609
La3 La 0.195 0.195 0.390
La4 La 0.195 0.805 0.000
La5 La 0.227 0.500 0.727
La6 La 0.238 0.238 0.000
La7 La 0.391 0.000 0.391
La8 La 0.500 0.227 0.727
La9 La 0.500 0.773 0.273
La10 La 0.609 0.000 0.609
La11 La 0.762 0.762 0.000
La12 La 0.773 0.500 0.273
La13 La 0.805 0.195 0.000
La14 La 0.805 0.805 0.610
Tl1 Tl 0.000 0.183 0.183
Tl2 Tl 0.000 0.817 0.817
Tl3 Tl 0.183 0.000 0.183
Tl4 Tl 0.373 0.373 0.745
Tl5 Tl 0.373 0.627 0.000
Tl6 Tl 0.627 0.373 0.000
Tl7 Tl 0.627 0.627 0.255
Tl8 Tl 0.817 0.000 0.817
Br1 Br 0.099 0.599 0.199
Br2 Br 0.099 0.901 0.500
Br3 Br 0.401 0.599 0.500
Br4 Br 0.401 0.901 0.801
Br5 Br 0.599 0.099 0.199
Br6 Br 0.599 0.401 0.500
Br7 Br 0.901 0.099 0.500
Br8 Br 0.901 0.401 0.801



8.
# ErTm4Cd2 | Alexandria | PBE | relaxed
# M_tot: 0.0 μB/f.u.
# E_tot: -22.703 eV/f.u.
# Space group: R-3m (166)
# DFT formation energy: 225 meV per atom
# V: 31.64 Å³/atom
data_ErTm4Cd2
_symmetry_space_group_name_H-M 'P 1'
_symmetry_Int_Tables_number 1
_cell_length_a 10.450
_cell_length_b 10.450
_cell_length_c 10.450
_cell_angle_alpha 27.95
_cell_angle_beta 27.95
_cell_angle_gamma 27.95
loop_
_symmetry_equiv_pos_as_xyz
'x,y,z'
loop_
_atom_site_label
_atom_site_type_symbol
_atom_site_fract_x
_atom_site_fract_y
_atom_site_fract_z
Er1 Er 0.000 0.000 0.000
Tm1 Tm 0.203 0.203 0.203
Tm2 Tm 0.393 0.393 0.393
Tm3 Tm 0.607 0.607 0.607
Tm4 Tm 0.797 0.797 0.797
Cd1 Cd 0.100 0.100 0.100
Cd2 Cd 0.900 0.900 0.900



9.
# Co3Ni3W | Alexandria | PBE | relaxed
# M_tot: 3.8 μB/f.u.
# E_tot: -49.935 eV/f.u.
# Space group: P2_13 (198)
# DFT formation energy: 240 meV per atom
# V: 11.88 Å³/atom
data_Co3Ni3W
_symmetry_space_group_name_H-M 'P 1'
_symmetry_Int_Tables_number 1
_cell_length_a 6.928
_cell_length_b 6.928
_cell_length_c 6.928
_cell_angle_alpha 90.00
_cell_angle_beta 90.00
_cell_angle_gamma 90.00
loop_
_symmetry_equiv_pos_as_xyz
'x,y,z'
loop_
_atom_site_label
_atom_site_type_symbol
_atom_site_fract_x
_atom_site_fract_y
_atom_site_fract_z
Co1 Co 0.006 0.180 0.898
Co2 Co 0.102 0.506 0.320
Co3 Co 0.180 0.898 0.006
Co4 Co 0.320 0.102 0.506
Co5 Co 0.398 0.494 0.820
Co6 Co 0.494 0.820 0.398
Co7 Co 0.506 0.320 0.102
Co8 Co 0.602 0.994 0.680
Co9 Co 0.680 0.602 0.994
Co10 Co 0.820 0.398 0.494
Co11 Co 0.898 0.006 0.180
Co12 Co 0.994 0.680 0.602
Ni1 Ni 0.134 0.366 0.634
Ni2 Ni 0.157 0.843 0.343
Ni3 Ni 0.200 0.200 0.200
Ni4 Ni 0.300 0.800 0.700
Ni5 Ni 0.343 0.157 0.843
Ni6 Ni 0.366 0.634 0.134
Ni7 Ni 0.634 0.134 0.366
Ni8 Ni 0.657 0.657 0.657
Ni9 Ni 0.700 0.300 0.800
Ni10 Ni 0.800 0.700 0.300
Ni11 Ni 0.843 0.343 0.157
Ni12 Ni 0.866 0.866 0.866
W1 W 0.054 0.554 0.946
W2 W 0.446 0.446 0.446
W3 W 0.554 0.946 0.054
W4 W 0.946 0.054 0.554



10.
# TiCoRe3 | Alexandria | PBE | relaxed
# M_tot: 0.0 μB/f.u.
# E_tot: -45.804 eV/f.u.
# Space group: Pm-3m (221)
# DFT formation energy: 1308 meV per atom
# V: 17.06 Å³/atom
# Relative energy among the computed polymorphs: 0.0 meV per atom
data_TiCoRe3
_symmetry_space_group_name_H-M 'P 1'
_symmetry_Int_Tables_number 1
_cell_length_a 4.402
_cell_length_b 4.402
_cell_length_c 4.402
_cell_angle_alpha 90.00
_cell_angle_beta 90.00
_cell_angle_gamma 90.00
loop_
_symmetry_equiv_pos_as_xyz
'x,y,z'
loop_
_atom_site_label
_atom_site_type_symbol
_atom_site_fract_x
_atom_site_fract_y
_atom_site_fract_z
Ti1 Ti 0.000 0.000 0.000
Co1 Co 0.500 0.500 0.500
Re1 Re 0.000 0.500 0.500
Re2 Re 0.500 0.000 0.500
Re3 Re 0.500 0.500 0.000



11.
# ErZrBeRu | Alexandria | PBE | relaxed
# M_tot: 0.0 μB/f.u.
# E_tot: -26.947 eV/f.u.
# Space group: F-43m (216)
# DFT formation energy: -208 meV per atom
# V: 18.23 Å³/atom
data_ErZrBeRu
_symmetry_space_group_name_H-M 'P 1'
_symmetry_Int_Tables_number 1
_cell_length_a 4.689
_cell_length_b 4.689
_cell_length_c 4.689
_cell_angle_alpha 60.00
_cell_angle_beta 60.00
_cell_angle_gamma 60.00
loop_
_symmetry_equiv_pos_as_xyz
'x,y,z'
loop_
_atom_site_label
_atom_site_type_symbol
_atom_site_fract_x
_atom_site_fract_y
_atom_site_fract_z
Er1 Er 0.000 0.000 0.000
Zr1 Zr 0.500 0.500 0.500
Be1 Be 0.250 0.250 0.250
Ru1 Ru 0.750 0.750 0.750



12.
# Sc4NiIr | Alexandria | PBE | relaxed
# M_tot: 0.0 μB/f.u.
# E_tot: -42.665 eV/f.u.
# Space group: C2/m (12)
# DFT formation energy: -449 meV per atom
# V: 21.16 Å³/atom
# Relative energy among the computed polymorphs: 81.7 meV per atom
data_Sc4NiIr
_symmetry_space_group_name_H-M 'P 1'
_symmetry_Int_Tables_number 1
_cell_length_a 4.483
_cell_length_b 4.483
_cell_length_c 6.318
_cell_angle_alpha 90.06
_cell_angle_beta 90.06
_cell_angle_gamma 90.00
loop_
_symmetry_equiv_pos_as_xyz
'x,y,z'
loop_
_atom_site_label
_atom_site_type_symbol
_atom_site_fract_x
_atom_site_fract_y
_atom_site_fract_z
Sc1 Sc 0.001 0.500 0.753
Sc2 Sc 0.500 0.001 0.753
Sc3 Sc 0.500 0.999 0.247
Sc4 Sc 0.999 0.500 0.247
Ni1 Ni 0.000 0.000 0.000
Ir1 Ir 0.500 0.500 0.500